Record 1
# Mn2TlSi2

A relaxed structure of Mn2TlSi2 (PBE, Alexandria).

Computed properties:
Volume in Å³/cell: 143.2
Formation energy from raw total energies in eV per formula unit: 0.86
Distance to the lowest polymorph of the same formula in meV per atom: 91
Electronic total energy in eV/atom: -6.14

Geometry as POSCAR:
```
Mn2TlSi2
1.0
-4.242 4.678 3.153
-5.616 -3.127 -2.917
-0.218 -1.735 2.280
Si Tl Mn
4 2 4
Direct
0.137 0.637 0.500
0.863 0.363 0.500
0.637 0.863 0.500
0.363 0.137 0.500
0.000 0.000 0.000
0.500 0.500 0.000
0.147 0.353 0.000
0.647 0.147 0.000
0.353 0.853 0.000
0.853 0.647 0.000
```

Record 2
# Mn3TlSi

A relaxed structure of Mn3TlSi (PBE, Alexandria).

Computed properties:
Volume in Å³/cell: 127.6
Formation energy from raw total energies in eV per formula unit: 7.21
Distance to the lowest polymorph of the same formula in meV per atom: 947
Electronic total energy in eV/atom: -5.62

Geometry as POSCAR:
```
Mn3TlSi
1.0
5.035 0.000 0.000
0.000 5.035 0.000
0.000 0.000 5.035
Tl Mn Si
1 3 1
Direct
0.000 0.000 0.000
0.000 0.500 0.000
0.500 0.000 0.000
0.000 0.000 0.500
0.500 0.500 0.500
```

Record 3
# MnTl2Si

A relaxed structure of MnTl2Si (PBE, Alexandria).

Computed properties:
Volume in Å³/cell: 88.2
Formation energy from raw total energies in eV per formula unit: 2.40
Distance to the lowest polymorph of the same formula in meV per atom: 388
Electronic total energy in eV/atom: -4.23

Geometry as POSCAR:
```
MnTl2Si
1.0
-2.379 3.272 -3.344
-1.594 -4.813 -1.357
-2.573 0.263 2.089
Tl Si Mn
2 1 1
Direct
0.000 0.000 0.000
0.500 0.500 0.000
0.000 0.500 0.500
0.500 0.000 0.500
```

Record 4
# MnTl2Si

A relaxed structure of MnTl2Si (PBE, Alexandria).

Computed properties:
Volume in Å³/cell: 89.2
Formation energy from raw total energies in eV per formula unit: 2.38
Distance to the lowest polymorph of the same formula in meV per atom: 384
Electronic total energy in eV/atom: -4.24

Geometry as POSCAR:
```
MnTl2Si
1.0
-2.425 0.161 2.202
-0.524 -5.406 -0.181
2.940 -4.520 3.569
Tl Si Mn
2 1 1
Direct
0.500 0.500 0.000
0.000 0.000 0.000
0.000 0.000 0.500
0.500 0.500 0.500
```

Record 5
# MnTl2Si

A relaxed structure of MnTl2Si (PBE, Alexandria).

Computed properties:
Volume in Å³/cell: 88.9
Formation energy from raw total energies in eV per formula unit: 2.48
Distance to the lowest polymorph of the same formula in meV per atom: 410
Electronic total energy in eV/atom: -4.21

Geometry as POSCAR:
```
MnTl2Si
1.0
-4.235 -7.391 2.657
-2.498 -8.566 -0.062
-0.955 -8.350 2.998
Tl Mn Si
2 1 1
Direct
0.500 0.500 0.500
0.000 0.000 0.000
0.250 0.250 0.250
0.750 0.750 0.750
```

Record 6
# MnTl2Si

A relaxed structure of MnTl2Si (PBE, Alexandria).

Computed properties:
Volume in Å³/cell: 91.4
Formation energy from raw total energies in eV per formula unit: 0.84
Distance to the lowest polymorph of the same formula in meV per atom: 0
Electronic total energy in eV/atom: -4.62

Geometry as POSCAR:
```
MnTl2Si
1.0
3.228 0.000 0.000
0.000 3.417 -0.494
0.000 -0.492 8.363
Tl Si Mn
2 1 1
Direct
0.000 0.672 0.969
0.500 0.330 0.289
0.500 0.001 0.627
0.000 0.496 0.615
```

Record 7
# MnTl2Si

A relaxed structure of MnTl2Si (PBE, Alexandria).

Computed properties:
Volume in Å³/cell: 93.0
Formation energy from raw total energies in eV per formula unit: 2.60
Distance to the lowest polymorph of the same formula in meV per atom: 439
Electronic total energy in eV/atom: -4.18

Geometry as POSCAR:
```
MnTl2Si
1.0
-3.857 3.057 1.281
-4.235 -1.961 2.020
-1.087 0.804 4.902
Tl Mn Si
2 1 1
Direct
0.000 0.000 0.000
0.250 0.250 0.250
0.500 0.500 0.500
0.750 0.750 0.750
```

Record 8
# MnTl2Si

A relaxed structure of MnTl2Si (PBE, Alexandria).

Computed properties:
Volume in Å³/cell: 89.6
Formation energy from raw total energies in eV per formula unit: 2.44
Distance to the lowest polymorph of the same formula in meV per atom: 400
Electronic total energy in eV/atom: -4.22

Geometry as POSCAR:
```
MnTl2Si
1.0
-5.103 2.550 -1.449
-4.308 -3.646 -1.671
3.669 1.558 4.331
Si Tl Mn
1 2 1
Direct
0.750 0.250 0.500
0.499 0.499 0.000
0.001 0.001 0.000
0.250 0.750 0.500
```

Record 9
# YMn2TlSi

A relaxed structure of YMn2TlSi (PBE, Alexandria).

Computed properties:
Volume in Å³/cell: 145.1
Formation energy from raw total energies in eV per formula unit: 8.08
Electronic total energy in eV/atom: -4.90

Geometry as POSCAR:
```
YMn2TlSi
1.0
5.016 0.000 0.000
0.000 5.765 0.000
0.000 0.000 5.016
Tl Mn Y Si
1 2 1 1
Direct
0.000 0.500 0.000
0.500 0.000 0.000
0.000 0.000 0.500
0.000 0.000 0.000
0.500 0.500 0.500
```

Record 10
# TmMn4Si2

A relaxed structure of TmMn4Si2 (PBE, Alexandria).

Computed properties:
Volume in Å³/cell: 96.3
Formation energy from raw total energies in eV per formula unit: -3.26
Electronic total energy in eV/atom: -7.89

Geometry as POSCAR:
```
TmMn4Si2
1.0
3.790 0.000 -0.790
0.000 3.846 0.000
-0.574 0.000 6.726
Mn Si Tm
4 2 1
Direct
0.300 0.000 0.599
0.800 0.500 0.601
0.200 0.500 0.399
0.700 0.000 0.401
0.594 0.500 0.187
0.406 0.500 0.813
0.000 0.000 0.000
```

Record 11
# TmMn10Si2

A relaxed structure of TmMn10Si2 (PBE, Alexandria).

Computed properties:
Volume in Å³/cell: 316.6
Formation energy from raw total energies in eV per formula unit: -2.83
Electronic total energy in eV/atom: -8.45

Geometry as POSCAR:
```
TmMn10Si2
1.0
-3.341 -1.979 -4.959
0.025 -5.336 3.346
-6.819 2.279 3.684
Mn Si Tm
20 4 2
Direct
0.873 0.631 0.750
0.604 0.396 0.566
0.175 0.825 0.608
0.743 0.525 0.250
0.396 0.604 0.434
0.631 0.873 0.250
0.825 0.175 0.392
0.175 0.825 0.892
0.825 0.175 0.108
0.789 0.789 0.000
0.369 0.127 0.750
0.396 0.604 0.066
0.127 0.369 0.250
0.475 0.257 0.250
0.525 0.743 0.750
0.211 0.211 0.500
0.211 0.211 0.000
0.604 0.396 0.934
0.789 0.789 0.500
0.257 0.475 0.750
0.500 0.000 0.500
0.000 0.500 0.500
0.500 0.000 0.000
0.000 0.500 0.000
0.870 0.130 0.750
0.130 0.870 0.250
```

Record 12
# TmMn3Si2

A relaxed structure of TmMn3Si2 (PBE, Alexandria).

Computed properties:
Volume in Å³/cell: 173.4
Formation energy from raw total energies in eV per formula unit: -2.75
Electronic total energy in eV/atom: -7.60

Geometry as POSCAR:
```
TmMn3Si2
1.0
-1.094 -3.097 -2.125
5.272 3.190 -3.762
2.177 -4.341 5.203
Si Tm Mn
4 2 6
Direct
0.190 0.381 0.705
0.810 0.619 0.295
0.476 0.953 0.812
0.524 0.047 0.188
0.146 0.293 0.064
0.854 0.707 0.936
0.585 0.170 0.637
0.701 0.402 0.476
0.962 0.924 0.618
0.038 0.076 0.382
0.299 0.598 0.524
0.415 0.830 0.363
```

The following calculated density values (in g/cm³) correspond, in order, to the records above: 8.59, 5.17, 9.26, 9.16, 9.19, 8.93, 8.78, 9.12, 4.94, 7.67, 8.12, 7.47.